Material: Rb12Cu3H5
Method: DFT, PBE-GGA
State: optimized geometry

Computed properties:
Its density of states at the Fermi level is 56.38 states/eV per cell. The total moment is 8.79 μB/cell. For the mass density, the calculation gives 2.370 g/cm³. The crystal system is cubic. The calculation puts the electronic total energy at -0.069 hartree per atom.

Cell: 16.4445 16.4445 16.4445 Å, 109.47 109.47 109.47°
Last column: nearest neighbours and their distance in Å.
Positions (direct):
Rb  0.0234  0.2035  0.1231  2 H 2.80-3.09
Rb  0.0234  0.3199  0.9003  2 H 2.80-3.09
Rb  0.0804  0.7035  0.6801  2 H 2.80-3.09
Rb  0.0804  0.8769  0.4003  2 H 2.80-3.09
Rb  0.0997  0.6231  0.4196  2 H 2.80-3.09
Rb  0.0997  0.9766  0.6801  2 H 2.80-3.09
Rb  0.1231  0.0234  0.2035  2 H 2.80-3.09
Rb  0.1231  0.5997  0.9196  2 H 2.80-3.09
Rb  0.1801  0.2035  0.5804  2 H 2.80-3.09
Rb  0.1801  0.4766  0.5997  2 H 2.80-3.09
Rb  0.2035  0.1231  0.0234  2 H 2.80-3.09
Rb  0.2035  0.5804  0.1801  2 H 2.80-3.09
Rb  0.2965  0.3199  0.9196  2 H 2.80-3.09
Rb  0.2965  0.4766  0.3769  2 H 2.80-3.09
Rb  0.3199  0.9003  0.0234  2 H 2.80-3.09
Rb  0.3199  0.9196  0.2965  2 H 2.80-3.09
Rb  0.3769  0.2965  0.4766  2 H 2.80-3.09
Rb  0.3769  0.5804  0.9003  2 H 2.80-3.09
Rb  0.4003  0.0804  0.8769  2 H 2.80-3.09
Rb  0.4003  0.8199  0.5234  2 H 2.80-3.09
Rb  0.4196  0.0997  0.6231  2 H 2.80-3.09
Rb  0.4196  0.8199  0.7965  2 H 2.80-3.09
Rb  0.4766  0.3769  0.2965  2 H 2.80-3.09
Rb  0.4766  0.5997  0.1801  2 H 2.80-3.09
Rb  0.5234  0.4003  0.8199  2 H 2.80-3.09
Rb  0.5234  0.6231  0.7035  2 H 2.80-3.09
Rb  0.5804  0.1801  0.2035  2 H 2.80-3.09
Rb  0.5804  0.9003  0.3769  2 H 2.80-3.09
Rb  0.5997  0.1801  0.4766  2 H 2.80-3.09
Rb  0.5997  0.9196  0.1231  2 H 2.80-3.09
Rb  0.6231  0.4196  0.0997  2 H 2.80-3.09
Rb  0.6231  0.7035  0.5234  2 H 2.80-3.09
Rb  0.6801  0.0804  0.7035  2 H 2.80-3.09
Rb  0.6801  0.0997  0.9766  2 H 2.80-3.09
Rb  0.7035  0.5234  0.6231  2 H 2.80-3.09
Rb  0.7035  0.6801  0.0804  2 H 2.80-3.09
Rb  0.7965  0.4196  0.8199  2 H 2.80-3.09
Rb  0.7965  0.8769  0.9766  2 H 2.80-3.09
Rb  0.8199  0.5234  0.4003  2 H 2.80-3.09
Rb  0.8199  0.7965  0.4196  2 H 2.80-3.09
Rb  0.8769  0.4003  0.0804  2 H 2.80-3.09
Rb  0.8769  0.9766  0.7965  2 H 2.80-3.09
Rb  0.9003  0.0234  0.3199  2 H 2.80-3.09
Rb  0.9003  0.3769  0.5804  2 H 2.80-3.09
Rb  0.9196  0.1231  0.5997  2 H 2.80-3.09
Rb  0.9196  0.2965  0.3199  2 H 2.80-3.09
Rb  0.9766  0.6801  0.0997  2 H 2.80-3.09
Rb  0.9766  0.7965  0.8769  2 H 2.80-3.09
Cu  0.1250  0.2500  0.3750  8 Rb 3.60-3.83
Cu  0.1250  0.3750  0.7500  8 Rb 3.60-3.83
Cu  0.2500  0.3750  0.1250  8 Rb 3.60-3.83
Cu  0.2500  0.8750  0.6250  8 Rb 3.60-3.83
Cu  0.3750  0.1250  0.2500  8 Rb 3.60-3.83
Cu  0.3750  0.7500  0.1250  8 Rb 3.60-3.83
Cu  0.6250  0.2500  0.8750  8 Rb 3.60-3.83
Cu  0.6250  0.8750  0.7500  8 Rb 3.60-3.83
Cu  0.7500  0.1250  0.3750  8 Rb 3.60-3.83
Cu  0.7500  0.6250  0.8750  8 Rb 3.60-3.83
Cu  0.8750  0.6250  0.2500  8 Rb 3.60-3.83
Cu  0.8750  0.7500  0.6250  8 Rb 3.60-3.83
H  0.0000  0.0000  0.0000  6 Rb 3.09
H  0.0000  0.0000  0.5000  6 Rb 3.09
H  0.0000  0.5000  0.0000  6 Rb 3.09
H  0.0000  0.5000  0.5000  6 Rb 3.09
H  0.1250  0.7500  0.8750  4 Rb 2.80
H  0.1250  0.8750  0.2500  4 Rb 2.80
H  0.2500  0.1250  0.8750  4 Rb 2.80
H  0.2500  0.6250  0.3750  4 Rb 2.80
H  0.3750  0.2500  0.6250  4 Rb 2.80
H  0.3750  0.6250  0.7500  4 Rb 2.80
H  0.5000  0.0000  0.0000  6 Rb 3.09
H  0.5000  0.0000  0.5000  6 Rb 3.09
H  0.5000  0.5000  0.0000  6 Rb 3.09
H  0.5000  0.5000  0.5000  6 Rb 3.09
H  0.6250  0.3750  0.2500  4 Rb 2.80
H  0.6250  0.7500  0.3750  4 Rb 2.80
H  0.7500  0.3750  0.6250  4 Rb 2.80
H  0.7500  0.8750  0.1250  4 Rb 2.80
H  0.8750  0.1250  0.7500  4 Rb 2.80
H  0.8750  0.2500  0.1250  4 Rb 2.80